AcNdPuSn | Alexandria | PBE-GGA | relaxed; total moment = 1.7545 μB per atom; uncorrected energy = -6.866 eV per atom
1.0
7.937 0.000 0.000
0.000 7.937 0.000
0.000 0.000 7.937
Ac Nd Pu Sn
4 4 4 4
Direct
0.000 0.000 0.000
0.000 0.500 0.500
0.500 0.000 0.500
0.500 0.500 0.000
0.250 0.250 0.750
0.250 0.750 0.250
0.750 0.250 0.250
0.750 0.750 0.750
0.250 0.250 0.250
0.250 0.750 0.750
0.750 0.250 0.750
0.750 0.750 0.250
0.000 0.000 0.500
0.000 0.500 0.000
0.500 0.000 0.000
0.500 0.500 0.500